1.
This record from Alexandria via LeMat-Bulk describes Y3ZnBi after structural relaxation. The functional is PBE.

Spin magnetization = 0.00 Bohr magnetons per cell
Relative energy among the computed polymorphs = 0.000 eV/atom

Cell lengths 5.391, 5.391, 5.391 Å; angles 90.00, 90.00, 90.00 degrees
Positions (direct):
Y  0.000  0.500  0.000
Y  0.500  0.000  0.000
Y  0.000  0.000  0.500
Zn  0.000  0.000  0.000
Bi  0.500  0.500  0.500

2.
This record from Alexandria via LeMat-Bulk describes Y12Zn6Bi after structural relaxation. The functional is PBE.

Spin magnetization = 0.00 Bohr magnetons per cell
E = -4.937 eV per atom

Cell lengths 8.735, 8.735, 8.735 Å; angles 109.47, 109.47, 109.47 degrees
Positions (direct):
Zn  0.622  0.500  0.122
Zn  0.878  0.378  0.500
Zn  0.500  0.122  0.622
Zn  0.122  0.622  0.500
Zn  0.378  0.500  0.878
Zn  0.500  0.878  0.378
Y  0.513  0.808  0.705
Y  0.192  0.705  0.897
Y  0.808  0.705  0.513
Y  0.487  0.192  0.295
Y  0.705  0.897  0.192
Y  0.897  0.192  0.705
Y  0.103  0.808  0.295
Y  0.808  0.295  0.103
Y  0.295  0.487  0.192
Y  0.705  0.513  0.808
Y  0.295  0.103  0.808
Y  0.192  0.295  0.487
Bi  0.000  0.000  0.000

3.
This record from Alexandria via LeMat-Bulk describes Y5Zn2Bi after structural relaxation. The functional is PBE.

Spin magnetization = 0.00 Bohr magnetons per cell
E = -5.284 eV per atom

Cell lengths 8.197, 8.197, 8.673 Å; angles 118.20, 118.20, 90.00 degrees
Positions (direct):
Y  0.705  0.205  0.716
Y  0.795  0.990  0.284
Y  0.510  0.705  0.716
Y  0.010  0.510  0.716
Y  0.990  0.490  0.284
Y  0.000  0.000  0.000
Y  0.295  0.795  0.284
Y  0.205  0.010  0.716
Y  0.500  0.500  0.000
Y  0.490  0.295  0.284
Bi  0.250  0.250  0.500
Bi  0.750  0.750  0.500
Zn  0.641  0.141  0.000
Zn  0.359  0.859  0.000
Zn  0.141  0.359  0.000
Zn  0.859  0.641  0.000

4.
This record from Alexandria via LeMat-Bulk describes YZn2Bi after structural relaxation. The functional is PBE.

Spin magnetization = 0.00 Bohr magnetons per cell
E = -3.347 eV per atom

Cell lengths 8.109, 8.109, 6.488 Å; angles 51.33, 51.33, 90.00 degrees
Positions (direct):
Zn  0.640  0.125  0.250
Zn  0.110  0.625  0.250
Zn  0.375  0.360  0.750
Zn  0.875  0.890  0.750
Y  0.250  0.750  0.500
Y  0.500  0.500  0.000
Bi  0.000  0.000  0.000
Bi  0.750  0.250  0.500

5.
This record from Alexandria via LeMat-Bulk describes YZr2Bi2 after structural relaxation. The functional is PBE.

Spin magnetization = 0.00 Bohr magnetons per cell
Relative energy among the computed polymorphs = 0.000 eV/atom

Cell lengths 8.205, 8.205, 3.880 Å; angles 90.00, 90.00, 90.00 degrees
Positions (direct):
Y  0.500  0.500  0.000
Y  0.000  0.000  0.000
Bi  0.647  0.147  0.000
Bi  0.147  0.353  0.000
Bi  0.353  0.853  0.000
Bi  0.853  0.647  0.000
Zr  0.147  0.647  0.500
Zr  0.353  0.147  0.500
Zr  0.853  0.353  0.500
Zr  0.647  0.853  0.500

6.
This record from Alexandria via LeMat-Bulk describes Y2Zr2Bi after structural relaxation. The functional is PBE.

Spin magnetization = 0.00 Bohr magnetons per cell
E = -6.880 eV per atom

Cell lengths 7.784, 7.784, 4.576 Å; angles 90.00, 90.00, 90.00 degrees
Positions (direct):
Zr  0.365  0.865  0.000
Zr  0.135  0.365  0.000
Zr  0.865  0.635  0.000
Zr  0.635  0.135  0.000
Y  0.337  0.163  0.500
Y  0.837  0.337  0.500
Y  0.663  0.837  0.500
Y  0.163  0.663  0.500
Bi  0.500  0.500  0.000
Bi  0.000  0.000  0.000

7.
This record from Alexandria via LeMat-Bulk describes YZrBi2 after structural relaxation. The functional is PBE.

Spin magnetization = 0.00 Bohr magnetons per cell
Relative energy among the computed polymorphs = 0.000 eV/atom

Cell lengths 4.331, 4.331, 7.618 Å; angles 73.48, 73.48, 60.00 degrees
Positions (direct):
Bi  0.746  0.746  0.762
Bi  0.254  0.254  0.238
Zr  0.000  0.000  0.000
Y  0.500  0.500  0.500

8.
This record from Alexandria via LeMat-Bulk describes YZrBi3 after structural relaxation. The functional is PBE.

Spin magnetization = 0.00 Bohr magnetons per cell
Relative energy among the computed polymorphs = 0.000 eV/atom

Cell lengths 5.644, 5.644, 5.644 Å; angles 90.00, 90.00, 90.00 degrees
Positions (direct):
Y  0.500  0.500  0.500
Bi  0.000  0.000  0.500
Bi  0.500  0.000  0.000
Bi  0.000  0.500  0.000
Zr  0.000  0.000  0.000

9.
This record from Alexandria via LeMat-Bulk describes Y5ZrBi4 after structural relaxation. The functional is PBE.

Spin magnetization = 0.00 Bohr magnetons per cell
E = -6.053 eV per atom

Cell lengths 4.331, 8.381, 9.629 Å; angles 105.51, 103.00, 90.00 degrees
Positions (direct):
Zr  0.500  0.000  0.000
Y  0.500  0.500  0.000
Y  0.183  0.353  0.366
Y  0.835  0.197  0.671
Y  0.165  0.803  0.329
Y  0.817  0.647  0.634
Bi  0.990  0.749  0.980
Bi  0.665  0.073  0.330
Bi  0.335  0.927  0.670
Bi  0.010  0.251  0.020

10.
This record from Alexandria via LeMat-Bulk describes YZr3Bi after structural relaxation. The functional is PBE.

Spin magnetization = 1.51 Bohr magnetons per cell
Relative energy among the computed polymorphs = 0.467 eV/atom

Cell lengths 5.246, 5.246, 5.246 Å; angles 90.00, 90.00, 90.00 degrees
Positions (direct):
Bi  0.500  0.500  0.500
Zr  0.000  0.500  0.000
Zr  0.000  0.000  0.500
Zr  0.500  0.000  0.000
Y  0.000  0.000  0.000

11.
This record from Alexandria via LeMat-Bulk describes YZrBi2 after structural relaxation. The functional is PBE.

Spin magnetization = 0.47 Bohr magnetons per cell
Relative energy among the computed polymorphs = 0.025 eV/atom

Cell lengths 4.255, 4.255, 7.937 Å; angles 74.45, 74.45, 60.00 degrees
Positions (direct):
Bi  0.086  0.086  0.741
Bi  0.246  0.246  0.261
Zr  0.498  0.498  0.505
Y  0.669  0.669  0.993

12.
This record from Alexandria via LeMat-Bulk describes Y2ZrBi2 after structural relaxation. The functional is PBE.

Spin magnetization = 1.41 Bohr magnetons per cell
E = -6.397 eV per atom

Cell lengths 8.096, 8.096, 4.286 Å; angles 90.00, 90.00, 90.00 degrees
Positions (direct):
Zr  0.500  0.500  0.000
Zr  0.000  0.000  0.000
Y  0.341  0.159  0.500
Y  0.159  0.659  0.500
Y  0.659  0.841  0.500
Y  0.841  0.341  0.500
Bi  0.147  0.353  0.000
Bi  0.353  0.853  0.000
Bi  0.853  0.647  0.000
Bi  0.647  0.147  0.000